# 1
# LiNpTlSe3, optimized geometry, DFT PBE
data_LiNpTlSe3
_cell_length_a 9.003
_cell_length_b 4.208
_cell_length_c 9.360
_cell_angle_alpha 90.00
_cell_angle_beta 105.59
_cell_angle_gamma 90.00
_symmetry_space_group_name_H-M 'P 1 21/m 1'
_symmetry_Int_Tables_number 11
loop_
_symmetry_equiv_pos_as_xyz
'x,y,z'
'-x,-y,-z'
'-x,y+1/2,-z'
'x,-y+1/2,z'
loop_
_atom_site_label
_atom_site_type_symbol
_atom_site_fract_x
_atom_site_fract_y
_atom_site_fract_z
_atom_site_occupancy
Li1 Li 0.078 0.250 0.096 1
Np1 Np 0.324 0.750 0.346 1
Tl1 Tl 0.201 0.250 0.751 1
Se1 Se 0.126 0.250 0.377 1
Se2 Se 0.211 0.750 0.042 1
Se3 Se 0.462 0.750 0.659 1
# Total DFT energy (no corrections), eV per atom: -5.5765
# Total moment, μB/atom: 0.5000
# Theoretical density, kg/m3: 6662

---

# 2
# AlAg2Pb, optimized geometry, DFT PBE
data_AlAg2Pb
_cell_length_a 8.982
_cell_length_b 3.183
_cell_length_c 6.103
_cell_angle_alpha 90.00
_cell_angle_beta 101.41
_cell_angle_gamma 90.00
_symmetry_space_group_name_H-M 'C 1 2/m 1'
_symmetry_Int_Tables_number 12
loop_
_symmetry_equiv_pos_as_xyz
'x,y,z'
'-x,-y,-z'
'-x,y,-z'
'x,-y,z'
'x+1/2,y+1/2,z'
'-x+1/2,-y+1/2,-z'
'-x+1/2,y+1/2,-z'
'x+1/2,-y+1/2,z'
loop_
_atom_site_label
_atom_site_type_symbol
_atom_site_fract_x
_atom_site_fract_y
_atom_site_fract_z
_atom_site_occupancy
Al1 Al 0.000 0.000 0.000 1
Ag1 Ag 0.235 0.500 0.194 1
Pb1 Pb 0.000 0.500 0.500 1
# Offset from the most stable computed form, kJ/mol of formula units: 19
# Total DFT energy (no corrections), eV per atom: -3.1971
# Total moment, μB/atom: 0.0000
# Formation enthalpy at 0 K, meV/atom: 91.2
# Theoretical density, kg/m3: 8737

---

# 3
# KCuAgO2, optimized geometry, DFT PBE
data_KCuAgO2
_cell_length_a 5.873
_cell_length_b 10.606
_cell_length_c 6.670
_cell_angle_alpha 90.00
_cell_angle_beta 90.00
_cell_angle_gamma 90.00
_symmetry_space_group_name_H-M 'C m m e'
_symmetry_Int_Tables_number 67
_symmetry_space_group_name_Hall '-C 2a 2'
loop_
_atom_site_label
_atom_site_type_symbol
_atom_site_fract_x
_atom_site_fract_y
_atom_site_fract_z
_atom_site_occupancy
K1 K 0.000 0.250 0.213 1
Cu1 Cu 0.250 0.000 0.000 1
Ag1 Ag 0.000 0.000 0.500 1
O1 O 0.000 0.004 0.812 1
# Total DFT energy (no corrections), eV per atom: -4.2061
# Total moment, μB/atom: 0.0000
# Theoretical density, kg/m3: 3877

---

# 4
# Pu2BiSb, optimized geometry, DFT PBE
data_Pu2BiSb
_cell_length_a 4.078
_cell_length_b 4.078
_cell_length_c 6.638
_cell_angle_alpha 90.00
_cell_angle_beta 90.00
_cell_angle_gamma 90.00
_symmetry_space_group_name_H-M 'P 4/m m m'
_symmetry_Int_Tables_number 123
_symmetry_space_group_name_Hall '-P 4 2'
loop_
_atom_site_label
_atom_site_type_symbol
_atom_site_fract_x
_atom_site_fract_y
_atom_site_fract_z
_atom_site_occupancy
Pu1 Pu 0.000 0.000 0.241 1
Bi1 Bi 0.500 0.500 0.500 1
Sb1 Sb 0.500 0.500 0.000 1
# Offset from the most stable computed form, kJ/mol of formula units: 0
# Total DFT energy (no corrections), eV per atom: -9.6629
# Total moment, μB/atom: 2.8177
# Theoretical density, kg/m3: 12315